The following is a PBE-GGA calculation of PbF3 after structural relaxation, from Alexandria via LeMat-Bulk.

Cell and atoms, written as POSCAR:
```
PbF3
1.0
3.966 0.003 -1.220
-0.559 5.428 -1.821
-0.109 -0.811 6.709
Pb F
2 6
Direct
0.164 0.164 0.329
0.836 0.836 0.671
0.318 0.045 0.635
0.683 0.410 0.365
0.000 0.219 0.000
0.000 0.781 0.000
0.317 0.590 0.635
0.682 0.955 0.365
```

Calculated values
The calculated total energy comes out at -4.32 eV per atom. For the size of the total moment, the calculation gives 0.0 μB per cell. The calculation puts the calculated volume at 17.17 Å³/atom.

=====

The following is a PBE-GGA calculation of La2YTc after structural relaxation, from Alexandria via LeMat-Bulk.

Cell and atoms, written as POSCAR:
```
La2YTc
1.0
-2.058 4.677 2.421
1.052 -4.838 3.905
2.981 0.794 1.536
La Tc Y
2 1 1
Direct
0.000 0.000 0.000
0.500 0.000 0.500
0.000 0.500 0.500
0.500 0.500 0.000
```

Calculated values
Its formation energy is 0.436 eV per atom. The calculated total energy comes out at -6.23 eV per atom. As for the energy above the most stable polymorph in this dataset: 476 meV per atom. For the size of the total moment, the calculation gives 0.0 μB per cell. The calculation puts the calculated volume at 26.37 Å³/atom.

=====

The following is a PBE-GGA calculation of Li2PtSe after structural relaxation, from Alexandria via LeMat-Bulk.

Cell and atoms, written as POSCAR:
```
Li2PtSe
1.0
3.829 0.000 0.000
0.000 2.859 0.015
0.000 2.856 5.453
Li Pt Se
2 1 1
Direct
0.000 0.991 0.008
0.000 0.509 0.492
0.500 0.250 0.250
0.500 0.750 0.750
```

Calculated values
The calculated total energy comes out at -3.99 eV per atom. For the size of the total moment, the calculation gives 0.0 μB per cell. The calculation puts the calculated volume at 14.88 Å³/atom.

=====

The following is a PBE-GGA calculation of NaTl2OsF after structural relaxation, from Alexandria via LeMat-Bulk.

Cell and atoms, written as POSCAR:
```
NaTl2OsF
1.0
5.307 0.000 0.000
0.000 4.086 0.000
0.000 0.000 5.307
Na Tl Os F
1 2 1 1
Direct
0.500 0.500 0.500
0.000 0.000 0.500
0.500 0.000 0.000
0.000 0.500 0.000
0.000 0.000 0.000
```

Calculated values
The calculated total energy comes out at -3.49 eV per atom. For the size of the total moment, the calculation gives 0.0 μB per cell. The calculation puts the calculated volume at 23.02 Å³/atom.

=====

The following is a PBE-GGA calculation of AcPr after structural relaxation, from Alexandria via LeMat-Bulk.

Cell and atoms, written as POSCAR:
```
AcPr
1.0
-0.296 4.189 -1.046
0.491 -1.009 -4.180
-4.290 -0.404 -0.406
Pr Ac
1 1
Direct
0.500 0.500 0.500
0.000 0.000 0.000
```

Calculated values
Its formation energy is 0.118 eV per atom. The calculated total energy comes out at -4.33 eV per atom. As for the energy above the most stable polymorph in this dataset: 77 meV per atom. For the size of the total moment, the calculation gives 0.0 μB per cell. The calculation puts the calculated volume at 40.53 Å³/atom.

=====

Look up the calculated total energy of the third one. -3.99 eV per atom

=====

Among the records above, which one has the lowest calculated volume? Li2PtSe